Entry 1:
## La4Tb3ErSe8 (PBE-GGA)

Data for La4Tb3ErSe8 after structural relaxation.

Calculated values
* uncorrected formation energy: -1.88 eV/atom
* energy: -6.0079 eV/atom

Unit cell a=8.3471 b=8.3471 c=20.7913 alpha=90.00 beta=90.00 gamma=120.00
Space group R-3m (No. 166, hexagonal axes)
Asymmetric unit:
1 La 0.0000 0.0000 0.0000 x3
2 La 0.0000 0.5000 0.0000 x9
3 Tb 0.0000 0.5000 0.5000 x9
4 Er 0.0000 0.0000 0.5000 x3
5 Se 0.0000 0.0000 0.2442 x6
6 Se 0.0029 0.5014 0.2436 x18

***

Entry 2:
## Ho3Tm2In2 (PBE-GGA)

Data for Ho3Tm2In2 after structural relaxation.

Calculated values
* energy: -4.1768 eV/atom
* E above lowest polymorph: 0.111 eV/atom
* ΔH_f (0 K): -0.155 eV/atom

Unit cell a=4.951 b=23.156 c=3.426 alpha=90.00 beta=90.00 gamma=90.00
Space group Cmmm (No. 65)
Asymmetric unit:
1 Ho 0.000 0.000 0.000 x2
2 Ho 0.000 0.145 0.000 x4
3 Tm 0.000 0.286 0.500 x4
4 In 0.000 0.429 0.500 x4